Computed, not measured: Zr4NiN after structural relaxation at the GGA-PBE level of DFT.

abc: 6.179 5.962 5.946
angles: 90.00 99.58 90.00
Atoms (fractional coordinates):
Zr 0.609 0.145 0.837
Zr 0.109 0.355 0.837
Zr 0.805 0.164 0.388
Zr 0.305 0.336 0.388
Zr 0.195 0.836 0.612
Zr 0.391 0.855 0.163
Zr 0.695 0.664 0.612
Zr 0.891 0.645 0.163
Ni 0.000 0.000 0.000
Ni 0.500 0.500 0.000
N 0.500 0.000 0.500
N 0.000 0.500 0.500

- Raw formation energy: -0.59 eV/atom
- Space-group type: No. 14
- Electronic total energy: -51.85 eV/f.u.